Computed, not measured: crystalline SrCd2SbRh at its relaxed geometry at the PBE level of DFT.

The structure in POSCAR format:
```
SrCd2SbRh
1.0
-0.3066 -1.5561 4.9466
3.2704 -3.9035 -1.0253
3.9746 3.0160 1.1951
Sb Rh Sr Cd
1 1 1 2
Cartesian
1.9873 1.5080 0.5975 Sb
0.0000 0.0000 0.0000 Rh
3.4692 -1.2218 2.5582 Sr
1.6352 -1.9518 -0.5126 Cd
-0.1533 -0.7780 2.4733 Cd
```

Properties
Density of states at the Fermi level ... 1.90 states/eV/cell
Formation energy (no corrections) ... -0.3067 eV per atom
Symmetry ... P4/mmm, No. 123
Mass density ... 6.4 g cm⁻³
Raw total energy ... -0.24283 Ry/atom